No. 1
NpU2MnS6: relaxed, PBE.

Properties
Calculated total energy (eV for the cell shown): -80.9
Theoretical density (Mg/m³): 6.67

```
data_NpU2MnS6
_chemical_formula_sum 'Np1 U2 Mn1 S6'
_space_group_name_H-M_alt 'P 1'
_space_group_IT_number 1
_cell_length_a 7.198
_cell_length_b 7.198
_cell_length_c 7.198
_cell_angle_alpha 55.98
_cell_angle_beta 55.98
_cell_angle_gamma 55.98
loop_
_space_group_symop_operation_xyz
'x,y,z'
loop_
_atom_site_label
_atom_site_fract_x
_atom_site_fract_y
_atom_site_fract_z
_atom_site_occupancy
Np1 0.000 0.000 0.000 1
U1 0.307 0.307 0.307 1
U2 0.808 0.808 0.808 1
Mn1 0.497 0.497 0.497 1
S1 0.109 0.707 0.402 1
S2 0.226 0.597 0.887 1
S3 0.402 0.109 0.707 1
S4 0.597 0.887 0.226 1
S5 0.707 0.402 0.109 1
S6 0.887 0.226 0.597 1
```

***

No. 2
Tl4In3Hg2Pb2: relaxed, PBE.

Properties
Calculated total energy (eV for the cell shown): -25.0
Theoretical density (Mg/m³): 9.80
Energy relative to the elements (eV/atom): 0.0635

```
data_Tl4In3Hg2Pb2
_chemical_formula_sum 'Tl4 In3 Hg2 Pb2'
_space_group_name_H-M_alt 'P 1'
_space_group_IT_number 1
_cell_length_a 5.345
_cell_length_b 5.345
_cell_length_c 13.544
_cell_angle_alpha 90.00
_cell_angle_beta 90.00
_cell_angle_gamma 120.00
loop_
_space_group_symop_operation_xyz
'x,y,z'
loop_
_atom_site_label
_atom_site_fract_x
_atom_site_fract_y
_atom_site_fract_z
_atom_site_occupancy
Tl1 0.333 0.667 0.328 1
Tl2 0.333 0.667 0.831 1
Tl3 0.667 0.333 0.169 1
Tl4 0.667 0.333 0.672 1
In1 0.000 0.000 0.000 1
In2 0.000 0.000 0.268 1
In3 0.000 0.000 0.732 1
Hg1 0.333 0.667 0.077 1
Hg2 0.667 0.333 0.923 1
Pb1 0.333 0.667 0.570 1
Pb2 0.667 0.333 0.430 1
```

***

No. 3
Na2ZrSb2Se6: relaxed, PBE.

Properties
Calculated total energy (eV for the cell shown): -49.6
Theoretical density (Mg/m³): 4.64

```
data_Na2ZrSb2Se6
_chemical_formula_sum 'Na2 Zr1 Sb2 Se6'
_space_group_name_H-M_alt 'P 1'
_space_group_IT_number 1
_cell_length_a 7.041
_cell_length_b 7.041
_cell_length_c 7.500
_cell_angle_alpha 99.68
_cell_angle_beta 99.68
_cell_angle_gamma 119.32
loop_
_space_group_symop_operation_xyz
'x,y,z'
loop_
_atom_site_label
_atom_site_fract_x
_atom_site_fract_y
_atom_site_fract_z
_atom_site_occupancy
Na1 0.171 0.829 0.000 1
Na2 0.829 0.171 0.000 1
Zr1 0.000 0.000 0.500 1
Sb1 0.331 0.669 0.500 1
Sb2 0.669 0.331 0.500 1
Se1 0.077 0.397 0.722 1
Se2 0.235 0.235 0.280 1
Se3 0.397 0.077 0.722 1
Se4 0.603 0.923 0.278 1
Se5 0.765 0.765 0.720 1
Se6 0.923 0.603 0.278 1
```

***

No. 4
SrY2Co: relaxed, PBE.

Properties
Calculated total energy (eV for the cell shown): -39.1
Theoretical density (Mg/m³): 4.88
Energy relative to the elements (eV/atom): 0.5386

```
data_SrY2Co
_chemical_formula_sum 'Sr2 Y4 Co2'
_space_group_name_H-M_alt 'P 1'
_space_group_IT_number 1
_cell_length_a 4.573
_cell_length_b 4.573
_cell_length_c 10.553
_cell_angle_alpha 90.00
_cell_angle_beta 90.00
_cell_angle_gamma 90.00
loop_
_space_group_symop_operation_xyz
'x,y,z'
loop_
_atom_site_label
_atom_site_fract_x
_atom_site_fract_y
_atom_site_fract_z
_atom_site_occupancy
Sr1 0.000 0.000 0.000 1
Sr2 0.500 0.500 0.500 1
Y1 0.000 0.000 0.500 1
Y2 0.000 0.500 0.750 1
Y3 0.500 0.000 0.250 1
Y4 0.500 0.500 0.000 1
Co1 0.000 0.500 0.250 1
Co2 0.500 0.000 0.750 1
```

***

No. 5
Ce2SmTc2: relaxed, PBE.

Properties
Calculated total energy (eV for the cell shown): -74.9
Theoretical density (Mg/m³): 8.38
Energy relative to the elements (eV/atom): -0.0220

```
data_Ce2SmTc2
_chemical_formula_sum 'Ce4 Sm2 Tc4'
_space_group_name_H-M_alt 'P 1'
_space_group_IT_number 1
_cell_length_a 5.185
_cell_length_b 4.420
_cell_length_c 10.902
_cell_angle_alpha 90.00
_cell_angle_beta 96.49
_cell_angle_gamma 90.00
loop_
_space_group_symop_operation_xyz
'x,y,z'
loop_
_atom_site_label
_atom_site_fract_x
_atom_site_fract_y
_atom_site_fract_z
_atom_site_occupancy
Ce1 0.098 0.250 0.109 1
Ce2 0.240 0.750 0.477 1
Ce3 0.760 0.250 0.523 1
Ce4 0.902 0.750 0.891 1
Sm1 0.349 0.250 0.760 1
Sm2 0.651 0.750 0.240 1
Tc1 0.237 0.250 0.377 1
Tc2 0.330 0.750 0.965 1
Tc3 0.670 0.250 0.035 1
Tc4 0.763 0.750 0.623 1
```

***

No. 6
BaMo2Pb: relaxed, PBE.

Properties
Calculated total energy (eV for the cell shown): -44.6
Theoretical density (Mg/m³): 9.26
Energy relative to the elements (eV/atom): 1.2528

```
data_BaMo2Pb
_chemical_formula_sum 'Ba2 Mo4 Pb2'
_space_group_name_H-M_alt 'P 1'
_space_group_IT_number 1
_cell_length_a 2.971
_cell_length_b 5.832
_cell_length_c 11.102
_cell_angle_alpha 90.00
_cell_angle_beta 90.00
_cell_angle_gamma 90.00
loop_
_space_group_symop_operation_xyz
'x,y,z'
loop_
_atom_site_label
_atom_site_fract_x
_atom_site_fract_y
_atom_site_fract_z
_atom_site_occupancy
Ba1 0.000 0.000 0.000 1
Ba2 0.500 0.500 0.500 1
Mo1 0.000 0.500 0.225 1
Mo2 0.000 0.500 0.775 1
Mo3 0.500 0.000 0.275 1
Mo4 0.500 0.000 0.725 1
Pb1 0.000 0.000 0.500 1
Pb2 0.500 0.500 0.000 1
```

***

No. 7
K2SiTe: relaxed, PBE.

Properties
Calculated total energy (eV for the cell shown): -11.0
Theoretical density (Mg/m³): 2.53

```
data_K2SiTe
_chemical_formula_sum 'K2 Si1 Te1'
_space_group_name_H-M_alt 'P 1'
_space_group_IT_number 1
_cell_length_a 3.917
_cell_length_b 3.917
_cell_length_c 10.002
_cell_angle_alpha 90.00
_cell_angle_beta 90.00
_cell_angle_gamma 90.00
loop_
_space_group_symop_operation_xyz
'x,y,z'
loop_
_atom_site_label
_atom_site_fract_x
_atom_site_fract_y
_atom_site_fract_z
_atom_site_occupancy
K1 0.000 0.000 0.000 1
K2 0.500 0.500 0.415 1
Si1 0.000 0.000 0.661 1
Te1 0.500 0.500 0.755 1
```

***

No. 8
MnCrC: relaxed, PBE.

Properties
Calculated total energy (eV for the cell shown): -54.3
Theoretical density (Mg/m³): 7.33
Energy relative to the elements (eV/atom): 0.2969

```
data_MnCrC
_chemical_formula_sum 'Mn2 Cr2 C2'
_space_group_name_H-M_alt 'P 1'
_space_group_IT_number 1
_cell_length_a 2.518
_cell_length_b 2.518
_cell_length_c 8.503
_cell_angle_alpha 90.00
_cell_angle_beta 90.00
_cell_angle_gamma 90.00
loop_
_space_group_symop_operation_xyz
'x,y,z'
loop_
_atom_site_label
_atom_site_fract_x
_atom_site_fract_y
_atom_site_fract_z
_atom_site_occupancy
Mn1 0.000 0.000 0.000 1
Mn2 0.500 0.500 0.500 1
Cr1 0.000 0.000 0.271 1
Cr2 0.500 0.500 0.771 1
C1 0.000 0.000 0.616 1
C2 0.500 0.500 0.116 1
```

***

No. 9
Sm3Y2Hg3: relaxed, PBE.

Properties
Calculated total energy (eV for the cell shown): -61.7
Theoretical density (Mg/m³): 8.94
Energy relative to the elements (eV/atom): -0.3565

```
data_Sm3Y2Hg3
_chemical_formula_sum 'Sm6 Y4 Hg6'
_space_group_name_H-M_alt 'P 1'
_space_group_IT_number 1
_cell_length_a 3.777
_cell_length_b 5.419
_cell_length_c 22.332
_cell_angle_alpha 90.00
_cell_angle_beta 90.00
_cell_angle_gamma 90.00
loop_
_space_group_symop_operation_xyz
'x,y,z'
loop_
_atom_site_label
_atom_site_fract_x
_atom_site_fract_y
_atom_site_fract_z
_atom_site_occupancy
Sm1 0.000 0.000 0.000 1
Sm2 0.000 0.500 0.121 1
Sm3 0.000 0.500 0.879 1
Sm4 0.500 0.000 0.379 1
Sm5 0.500 0.000 0.621 1
Sm6 0.500 0.500 0.500 1
Y1 0.000 0.000 0.232 1
Y2 0.000 0.000 0.768 1
Y3 0.500 0.500 0.268 1
Y4 0.500 0.500 0.732 1
Hg1 0.000 0.000 0.500 1
Hg2 0.000 0.500 0.379 1
Hg3 0.000 0.500 0.621 1
Hg4 0.500 0.000 0.121 1
Hg5 0.500 0.000 0.879 1
Hg6 0.500 0.500 0.000 1
```

***

No. 10
La4Nd3Er: relaxed, PBE.

Properties
Calculated total energy (eV for the cell shown): -74.0
Theoretical density (Mg/m³): 6.70
Energy relative to the elements (eV/atom): 0.1959

```
data_La4Nd3Er
_chemical_formula_sum 'La8 Nd6 Er2'
_space_group_name_H-M_alt 'P 1'
_space_group_IT_number 1
_cell_length_a 25.777
_cell_length_b 3.537
_cell_length_c 6.298
_cell_angle_alpha 90.00
_cell_angle_beta 93.70
_cell_angle_gamma 90.00
loop_
_space_group_symop_operation_xyz
'x,y,z'
loop_
_atom_site_label
_atom_site_fract_x
_atom_site_fract_y
_atom_site_fract_z
_atom_site_occupancy
La1 0.105 0.000 0.230 1
La2 0.220 0.500 0.244 1
La3 0.280 0.000 0.756 1
La4 0.395 0.500 0.770 1
La5 0.605 0.500 0.230 1
La6 0.720 0.000 0.244 1
La7 0.780 0.500 0.756 1
La8 0.895 0.000 0.770 1
Nd1 0.000 0.000 0.500 1
Nd2 0.144 0.000 0.740 1
Nd3 0.356 0.500 0.260 1
Nd4 0.500 0.500 0.500 1
Nd5 0.644 0.500 0.740 1
Nd6 0.856 0.000 0.260 1
Er1 0.000 0.500 0.000 1
Er2 0.500 0.000 0.000 1
```

***

No. 11
YZrOs: relaxed, PBE.

Properties
Calculated total energy (eV for the cell shown): -26.4
Theoretical density (Mg/m³): 9.86
Energy relative to the elements (eV/atom): -0.0623

```
data_YZrOs
_chemical_formula_sum 'Y1 Zr1 Os1'
_space_group_name_H-M_alt 'P 1'
_space_group_IT_number 1
_cell_length_a 4.658
_cell_length_b 4.658
_cell_length_c 3.321
_cell_angle_alpha 90.00
_cell_angle_beta 90.00
_cell_angle_gamma 120.00
loop_
_space_group_symop_operation_xyz
'x,y,z'
loop_
_atom_site_label
_atom_site_fract_x
_atom_site_fract_y
_atom_site_fract_z
_atom_site_occupancy
Y1 0.000 0.000 0.000 1
Zr1 0.667 0.333 0.411 1
Os1 0.333 0.667 0.667 1
```

***

No. 12
Mg4Sc5Cu: relaxed, PBE.

Properties
Calculated total energy (eV for the cell shown): -42.9
Theoretical density (Mg/m³): 2.87
Energy relative to the elements (eV/atom): -0.0728

```
data_Mg4Sc5Cu
_chemical_formula_sum 'Mg4 Sc5 Cu1'
_space_group_name_H-M_alt 'P 1'
_space_group_IT_number 1
_cell_length_a 3.260
_cell_length_b 3.260
_cell_length_c 20.990
_cell_angle_alpha 90.00
_cell_angle_beta 90.00
_cell_angle_gamma 90.00
loop_
_space_group_symop_operation_xyz
'x,y,z'
loop_
_atom_site_label
_atom_site_fract_x
_atom_site_fract_y
_atom_site_fract_z
_atom_site_occupancy
Mg1 0.000 0.000 0.106 1
Mg2 0.000 0.000 0.317 1
Mg3 0.000 0.000 0.683 1
Mg4 0.000 0.000 0.894 1
Sc1 0.500 0.500 0.000 1
Sc2 0.500 0.500 0.212 1
Sc3 0.500 0.500 0.425 1
Sc4 0.500 0.500 0.575 1
Sc5 0.500 0.500 0.788 1
Cu1 0.000 0.000 0.500 1
```